{
  "formula": "AlNi4Pt7",
  "functional": "PBE",
  "state": "optimized geometry",
  "m_tot_mub_per_atom": 0.34,
  "formation_energy_ev_per_atom": -0.243,
  "spacegroup": "P-1, No. 2",
  "dft_energy_ev_per_cell": -72.07,
  "lattice_angstrom": [[-4.3904, -3.1455, 0.0191], [1.9092, -2.3779, 3.6351], [-5.1443, 0.7781, 5.9727]],
  "species": ["Al", "Ni", "Ni", "Ni", "Ni", "Pt", "Pt", "Pt", "Pt", "Pt", "Pt", "Pt"],
  "fractional_positions": [[0.0000, 0.0000, 0.0000], [0.4919, 0.6540, 0.3398], [0.5081, 0.3460, 0.6602], [0.7531, 0.8306, 0.6638], [0.2469, 0.1694, 0.3362], [0.7483, 0.5178, 0.0022], [0.2517, 0.4822, 0.9978], [0.0024, 0.3230, 0.6668], [0.9976, 0.6770, 0.3332], [0.2588, 0.8391, 0.6612], [0.5000, 0.0000, 0.0000], [0.7412, 0.1609, 0.3388]]
}